[1]
This record from Alexandria via LeMat-Bulk describes a relaxed structure of Zr2VIr. The functional is GGA-PBE.

a = 5.5794 Å, b = 9.6076 Å, c = 5.5817 Å
α = 90.00°, β = 105.06°, γ = 90.00°
Closest atoms and distances in Å follow each position.
Space group C2 (No. 5)
Unique sites:
Zr 0.0000 0.0000 0.0000  4 V 2.80, 2 Ir 2.84, 2 Zr 3.05
Zr 0.0000 0.4993 0.5000  4 V 2.80, 2 Ir 3.02, 4 Zr 3.04-3.10
Zr 0.2362 0.7368 0.2638  4 Ir 2.79-2.81, 3 V 3.04-3.10, 3 Zr 3.04-3.10
V 0.0000 0.4743 0.0000  2 Ir 2.67, 4 Zr 2.80
V 0.0000 0.9749 0.5000  8 Zr 2.80-3.10, 2 Ir 2.85
Ir 0.2289 0.2480 0.2285  2 V 2.67-2.85, 5 Zr 2.79-2.84

Properties
Energy in eV per atom: -9.1204
Energy of formation from the pure elements in meV per atom: -351.4



[2]
This record from Alexandria via LeMat-Bulk describes a relaxed structure of Tb4SiCl5. The functional is GGA-PBE.

a = 17.6342 Å, b = 3.9639 Å, c = 8.1427 Å
α = 90.00°, β = 103.38°, γ = 90.00°
Closest atoms and distances in Å follow each position.
Space group C2/m (No. 12)
Unique sites:
Tb 0.0003 0.0000 0.2309  2 Si 2.73, 4 Cl 2.85-2.97
Tb 0.1547 0.5000 0.0871  1 Si 2.66, 5 Cl 2.75-2.97
Si 0.0000 0.5000 0.0000  6 Tb 2.66-2.73
Cl 0.0000 0.5000 0.5000  4 Tb 2.96
Cl 0.1661 0.0000 0.3258  3 Tb 2.75-2.85
Cl 0.1725 0.0000 0.8524  4 Tb 2.82-2.97

Properties
Energy in eV per atom: -5.0232
Energy relative to the elements, uncorrected in meV per atom: -1706



[3]
This record from Alexandria via LeMat-Bulk describes a relaxed structure of Ni2AsRh. The functional is GGA-PBE.

a = 2.8213 Å, b = 2.8213 Å, c = 23.2103 Å
α = 90.00°, β = 90.00°, γ = 120.00°
Closest atoms and distances in Å follow each position.
Space group R3m (No. 160, hexagonal axes)
Unique sites:
Ni 0.0000 0.0000 0.0000  3 Ni 2.52, 3 Rh 2.63
Ni 0.0000 0.0000 0.2506  3 As 2.42, 3 Ni 2.52
As 0.0000 0.0000 0.5067  3 Ni 2.42, 3 Rh 2.54
Rh 0.0000 0.0000 0.7558  3 As 2.54, 3 Ni 2.63, 6 Rh 2.82

Properties
Energy in eV per atom: -5.8105
Energy of formation from the pure elements in meV per atom: 80.4



[4]
This record from Alexandria via LeMat-Bulk describes a relaxed structure of Pr4Ho2Er5. The functional is GGA-PBE.

a = 19.1567 Å, b = 5.6606 Å, c = 6.6538 Å
α = 90.00°, β = 90.71°, γ = 90.00°
Closest atoms and distances in Å follow each position.
Space group C2/m (No. 12)
Unique sites:
Pr 0.0211 0.0000 0.2868  1 Pr 2.96, 1 Er 3.11
Pr 0.1934 0.5000 0.0733  6 Er 3.31-3.69, 2 Pr 3.70
Ho 0.0984 0.5000 0.5565  6 Er 3.52-3.69, 6 Pr 3.65-3.87, 1 Ho 3.83
Er 0.0000 0.5000 0.0000  6 Pr 3.43-3.73, 2 Ho 3.52
Er 0.1305 0.0000 0.8859  5 Pr 3.11-3.41
Er 0.2093 0.0000 0.4021  4 Er 3.48-3.73, 4 Pr 3.59-3.69, 3 Ho 3.69

Properties
Energy in eV per atom: -4.5374
Energy of formation from the pure elements in meV per atom: 106.9